# 1
{
  "formula": "Pu3Bi2N2",
  "functional": "PBE",
  "state": "optimized geometry",
  "lattice": [[3.734, 0.000, 0.000], [-1.867, 6.551, -3.089], [0.000, -2.207, 7.729]],
  "species": ["Pu", "Pu", "Pu", "Bi", "Bi", "N", "N"],
  "fractional_positions": [[0.000, 0.000, 0.000], [0.803, 0.607, 0.393], [0.197, 0.393, 0.607], [0.581, 0.162, 0.784], [0.419, 0.838, 0.216], [0.804, 0.608, 0.675], [0.196, 0.392, 0.325]],
  "space_group": "No. 12",
  "final_energy_ev_per_fu": -72.94,
  "e_form_raw_ev_per_atom": -0.7900
}

# 2
{
  "formula": "Nd2BiRh",
  "functional": "PBE",
  "state": "optimized geometry",
  "lattice": [[-0.503, 0.030, -4.308], [-1.281, -3.596, -2.058], [-7.541, 0.812, -1.297]],
  "species": ["Rh", "Nd", "Nd", "Bi"],
  "fractional_positions": [[0.000, 0.000, 0.000], [0.738, 0.738, 0.786], [0.262, 0.262, 0.214], [0.500, 0.500, 0.500]],
  "ef_ev_per_atom": -0.62,
  "space_group": "No. 166",
  "final_energy_ev_per_fu": -23.24,
  "polymorph_energy_mev_per_atom": 43
}

# 3
{
  "formula": "Ce2Pm2Ir3",
  "functional": "PBE",
  "state": "optimized geometry",
  "lattice": [[4.079, -0.004, 0.001], [-2.032, 6.596, -0.103], [-0.003, -1.106, 7.166]],
  "species": ["Ce", "Ce", "Pm", "Pm", "Ir", "Ir", "Ir"],
  "fractional_positions": [[0.630, 0.259, 0.904], [0.370, 0.741, 0.096], [0.865, 0.730, 0.638], [0.135, 0.270, 0.362], [0.000, 0.000, 0.000], [0.766, 0.532, 0.249], [0.234, 0.468, 0.751]],
  "ef_ev_per_atom": -0.64,
  "space_group": "No. 12",
  "final_energy_ev_per_fu": -52.44,
  "polymorph_energy_mev_per_atom": 29
}

# 4
{
  "formula": "CaTm2Hg6",
  "functional": "PBE",
  "state": "optimized geometry",
  "lattice": [[3.473, -0.024, -0.354], [-0.373, 7.327, -4.157], [-0.087, 0.084, 8.708]],
  "species": ["Ca", "Tm", "Tm", "Hg", "Hg", "Hg", "Hg", "Hg", "Hg"],
  "fractional_positions": [[0.000, 0.000, 0.000], [0.922, 0.347, 0.695], [0.078, 0.653, 0.305], [0.612, 0.343, 0.342], [0.388, 0.657, 0.658], [0.388, 0.001, 0.658], [0.500, 0.671, 0.000], [0.500, 0.329, 0.000], [0.612, 0.999, 0.342]],
  "ef_ev_per_atom": -0.36,
  "space_group": "No. 12",
  "final_energy_ev_per_fu": -16.00
}